No. 1
{"formula": "Zr6IrPd5", "functional": "PBE", "state": "optimized geometry", "ef_mev_per_atom": -638.0, "mass_density_g_cm3": 9.367, "e_tot_ev_per_cell": -93.77, "lattice_angstrom": [[-2.305, 3.473, 7.040], [2.305, -3.473, 7.040], [2.305, 3.473, -7.040]], "species": ["Zr", "Zr", "Zr", "Zr", "Zr", "Zr", "Ir", "Pd", "Pd", "Pd", "Pd", "Pd"], "fractional_positions": [[0.084, 0.339, 0.744], [0.239, 0.000, 0.239], [0.405, 0.661, 0.744], [0.595, 0.339, 0.256], [0.761, 0.000, 0.761], [0.916, 0.661, 0.256], [0.000, 0.500, 0.500], [0.183, 0.183, 0.000], [0.329, 0.829, 0.500], [0.500, 0.500, 0.000], [0.671, 0.171, 0.500], [0.817, 0.817, 0.000]]}

---

No. 2
{"formula": "Ca3CdSe", "functional": "PBE", "state": "optimized geometry", "raw_formation_energy_ev_per_atom": -0.702, "polymorph_energy_mev_per_atom": 0, "mass_density_g_cm3": 3.001, "e_tot_ev_per_cell": -13.92, "lattice_angstrom": [[5.566, 0.000, 0.000], [0.000, 5.566, 0.000], [0.000, 0.000, 5.566]], "species": ["Ca", "Ca", "Ca", "Cd", "Se"], "fractional_positions": [[0.000, 0.000, 0.500], [0.000, 0.500, 0.000], [0.500, 0.000, 0.000], [0.500, 0.500, 0.500], [0.000, 0.000, 0.000]]}

---

No. 3
{"formula": "LaAgTeI2", "functional": "PBE", "state": "optimized geometry", "raw_formation_energy_ev_per_atom": -0.506, "polymorph_energy_mev_per_atom": 0, "mass_density_g_cm3": 4.290, "e_tot_ev_per_cell": -16.55, "lattice_angstrom": [[6.218, 0.000, 0.000], [0.000, 6.218, 0.000], [0.000, 0.000, 6.287]], "species": ["La", "Ag", "Te", "I", "I"], "fractional_positions": [[0.000, 0.000, 0.000], [0.500, 0.500, 0.500], [0.000, 0.000, 0.500], [0.000, 0.500, 0.000], [0.500, 0.000, 0.000]]}

---

No. 4
{"formula": "Li3La2CeS6", "functional": "PBE", "state": "optimized geometry", "raw_formation_energy_ev_per_atom": -1.792, "mass_density_g_cm3": 3.825, "e_tot_ev_per_cell": -67.80, "lattice_angstrom": [[3.575, -6.202, 0.000], [3.575, 6.202, 0.000], [-2.370, 0.000, 6.179]], "species": ["Li", "Li", "Li", "La", "La", "Ce", "S", "S", "S", "S", "S", "S"], "fractional_positions": [[0.000, 0.000, 0.000], [0.341, 0.659, 0.000], [0.659, 0.341, 0.000], [0.167, 0.833, 0.500], [0.833, 0.167, 0.500], [0.500, 0.500, 0.500], [0.087, 0.415, 0.243], [0.256, 0.256, 0.756], [0.415, 0.087, 0.243], [0.585, 0.913, 0.757], [0.744, 0.744, 0.244], [0.913, 0.585, 0.757]]}

---

No. 5
{"formula": "NbMo2HRu", "functional": "PBE", "state": "optimized geometry", "mass_density_g_cm3": 9.730, "e_tot_ev_per_cell": -43.96, "lattice_angstrom": [[4.064, 0.000, 0.000], [0.000, 4.064, 0.000], [0.000, 0.000, 3.997]], "species": ["Nb", "Mo", "Mo", "H", "Ru"], "fractional_positions": [[0.000, 0.000, 0.000], [0.000, 0.500, 0.500], [0.500, 0.000, 0.500], [0.500, 0.500, 0.500], [0.500, 0.500, 0.000]]}

---

No. 6
{"formula": "NaLi", "functional": "PBE", "state": "optimized geometry", "ef_mev_per_atom": 39.6, "polymorph_energy_mev_per_atom": 0, "mass_density_g_cm3": 0.884, "e_tot_ev_per_cell": -6.31, "lattice_angstrom": [[3.408, 0.000, 0.000], [0.000, 3.408, 0.000], [0.000, 0.000, 9.687]], "species": ["Na", "Na", "Li", "Li"], "fractional_positions": [[0.250, 0.250, 0.154], [0.750, 0.750, 0.846], [0.250, 0.250, 0.598], [0.750, 0.750, 0.402]]}

---

No. 7
{"formula": "Pm3Y4Er4", "functional": "PBE", "state": "optimized geometry", "ef_mev_per_atom": 57.6, "polymorph_energy_mev_per_atom": 0, "mass_density_g_cm3": 6.831, "e_tot_ev_per_cell": -57.73, "lattice_angstrom": [[3.489, 0.000, 0.000], [0.000, 5.665, 0.000], [-1.741, -2.831, 17.950]], "species": ["Pm", "Pm", "Pm", "Y", "Y", "Y", "Y", "Er", "Er", "Er", "Er"], "fractional_positions": [[0.000, 0.000, 0.000], [0.136, 0.637, 0.273], [0.864, 0.363, 0.727], [0.266, 0.267, 0.533], [0.409, 0.909, 0.819], [0.591, 0.091, 0.181], [0.734, 0.733, 0.467], [0.319, 0.819, 0.637], [0.455, 0.454, 0.909], [0.545, 0.546, 0.091], [0.681, 0.181, 0.363]]}

---

No. 8
{"formula": "LiYPa2Se6", "functional": "PBE", "state": "optimized geometry", "raw_formation_energy_ev_per_atom": -1.065, "mass_density_g_cm3": 5.781, "e_tot_ev_per_cell": -58.92, "lattice_angstrom": [[6.529, 0.000, 0.000], [0.000, 6.529, 0.000], [0.000, 0.000, 6.953]], "species": ["Li", "Y", "Pa", "Pa", "Se", "Se", "Se", "Se", "Se", "Se"], "fractional_positions": [[0.000, 0.000, 0.000], [0.500, 0.500, 0.026], [0.000, 0.500, 0.451], [0.500, 0.000, 0.451], [0.000, 0.000, 0.634], [0.240, 0.240, 0.210], [0.240, 0.760, 0.210], [0.500, 0.500, 0.624], [0.760, 0.240, 0.210], [0.760, 0.760, 0.210]]}

---

No. 9
{"formula": "CrMo2", "functional": "PBE", "state": "optimized geometry", "ef_mev_per_atom": 955.2, "polymorph_energy_mev_per_atom": 905, "mass_density_g_cm3": 8.350, "e_tot_ev_per_cell": -113.68, "lattice_angstrom": [[5.789, 0.000, 0.000], [0.000, 5.789, 0.000], [0.000, 0.000, 5.789]], "species": ["Cr", "Cr", "Cr", "Cr", "Mo", "Mo", "Mo", "Mo", "Mo", "Mo", "Mo", "Mo"], "fractional_positions": [[0.000, 0.000, 0.000], [0.000, 0.500, 0.500], [0.500, 0.000, 0.500], [0.500, 0.500, 0.000], [0.144, 0.644, 0.856], [0.144, 0.856, 0.356], [0.356, 0.144, 0.856], [0.356, 0.356, 0.356], [0.644, 0.644, 0.644], [0.644, 0.856, 0.144], [0.856, 0.144, 0.644], [0.856, 0.356, 0.144]]}

---

No. 10
{"formula": "Pm2EuAl", "functional": "PBE", "state": "optimized geometry", "ef_mev_per_atom": -55.0, "polymorph_energy_mev_per_atom": 77, "mass_density_g_cm3": 6.610, "e_tot_ev_per_cell": -23.74, "lattice_angstrom": [[0.000, 3.891, 3.891], [3.891, 0.000, 3.891], [3.891, 3.891, 0.000]], "species": ["Pm", "Pm", "Eu", "Al"], "fractional_positions": [[0.250, 0.250, 0.250], [0.750, 0.750, 0.750], [0.000, 0.000, 0.000], [0.500, 0.500, 0.500]]}

---

No. 11
{"formula": "K2ReNi", "functional": "PBE", "state": "optimized geometry", "ef_mev_per_atom": 867.0, "polymorph_energy_mev_per_atom": 103, "mass_density_g_cm3": 5.208, "e_tot_ev_per_cell": -16.96, "lattice_angstrom": [[3.096, 0.000, 0.000], [0.000, 3.096, 0.000], [0.000, 0.000, 10.751]], "species": ["K", "K", "Re", "Ni"], "fractional_positions": [[0.000, 0.000, 0.000], [0.500, 0.500, 0.406], [0.500, 0.500, 0.746], [0.000, 0.000, 0.640]]}

---

No. 12
{"formula": "Ac2GeRh", "functional": "PBE", "state": "optimized geometry", "ef_mev_per_atom": 144.0, "mass_density_g_cm3": 8.250, "e_tot_ev_per_cell": -19.61, "lattice_angstrom": [[1.914, 1.105, 9.990], [-1.914, 1.105, 9.990], [0.000, -2.210, 9.990]], "species": ["Ac", "Ac", "Ge", "Rh"], "fractional_positions": [[0.088, 0.088, 0.088], [0.912, 0.912, 0.912], [0.500, 0.500, 0.500], [0.000, 0.000, 0.000]]}

---

No. 13
{"formula": "Ta2CrPb", "functional": "PBE", "state": "optimized geometry", "ef_mev_per_atom": 442.2, "mass_density_g_cm3": 13.890, "e_tot_ev_per_cell": -35.27, "lattice_angstrom": [[1.673, -2.483, 0.000], [1.673, 2.483, 0.000], [0.000, 0.000, 8.937]], "species": ["Ta", "Ta", "Cr", "Pb"], "fractional_positions": [[0.000, 0.000, 0.000], [0.500, 0.500, 0.253], [0.500, 0.500, 0.787], [0.000, 0.000, 0.535]]}

---

No. 14
{"formula": "YAs2SeCl", "functional": "PBE", "state": "optimized geometry", "raw_formation_energy_ev_per_atom": 0.150, "polymorph_energy_mev_per_atom": 0, "mass_density_g_cm3": 4.905, "e_tot_ev_per_cell": -20.35, "lattice_angstrom": [[4.835, 0.000, 0.000], [0.000, 4.835, 0.000], [0.000, 0.000, 5.114]], "species": ["Y", "As", "As", "Se", "Cl"], "fractional_positions": [[0.000, 0.000, 0.000], [0.000, 0.500, 0.500], [0.500, 0.000, 0.500], [0.500, 0.500, 0.000], [0.500, 0.500, 0.500]]}

---

No. 15
{"formula": "AlGa2H8", "functional": "PBE", "state": "optimized geometry", "mass_density_g_cm3": 2.370, "e_tot_ev_per_cell": -34.45, "lattice_angstrom": [[4.353, -2.895, 0.000], [4.353, 2.895, 0.000], [-0.884, 0.000, 4.852]], "species": ["Al", "Ga", "Ga", "H", "H", "H", "H", "H", "H", "H", "H"], "fractional_positions": [[0.000, 0.000, 0.000], [0.201, 0.201, 0.649], [0.799, 0.799, 0.351], [0.101, 0.696, 0.208], [0.150, 0.150, 0.295], [0.304, 0.899, 0.792], [0.381, 0.381, 0.761], [0.619, 0.619, 0.239], [0.696, 0.101, 0.208], [0.850, 0.850, 0.705], [0.899, 0.304, 0.792]]}

---

No. 16
{"formula": "TcAgGe2", "functional": "PBE", "state": "optimized geometry", "ef_mev_per_atom": 641.8, "polymorph_energy_mev_per_atom": 603, "mass_density_g_cm3": 6.094, "e_tot_ev_per_cell": -39.77, "lattice_angstrom": [[-2.903, 2.903, 5.675], [2.903, -2.903, 5.675], [2.903, 2.903, -5.675]], "species": ["Tc", "Tc", "Ag", "Ag", "Ge", "Ge", "Ge", "Ge"], "fractional_positions": [[0.000, 0.000, 0.000], [0.750, 0.250, 0.500], [0.250, 0.750, 0.500], [0.500, 0.500, 0.000], [0.089, 0.625, 0.964], [0.375, 0.339, 0.464], [0.661, 0.125, 0.036], [0.875, 0.911, 0.536]]}

---

No. 17
{"formula": "Cr3Tc", "functional": "PBE", "state": "optimized geometry", "ef_mev_per_atom": 37.7, "mass_density_g_cm3": 8.376, "e_tot_ev_per_cell": -39.09, "lattice_angstrom": [[4.141, 0.000, 0.000], [0.000, 4.141, 0.000], [0.000, 0.000, 2.937]], "species": ["Cr", "Cr", "Cr", "Tc"], "fractional_positions": [[0.000, 0.000, 0.000], [0.000, 0.500, 0.500], [0.500, 0.000, 0.500], [0.500, 0.500, 0.000]]}

---

No. 18
{"formula": "La2ZrRe", "functional": "PBE", "state": "optimized geometry", "ef_mev_per_atom": 189.9, "polymorph_energy_mev_per_atom": 83, "mass_density_g_cm3": 8.610, "e_tot_ev_per_cell": -30.09, "lattice_angstrom": [[-1.813, 2.708, 5.454], [1.813, -2.708, 5.454], [1.813, 2.708, -5.454]], "species": ["La", "La", "Zr", "Re"], "fractional_positions": [[0.000, 0.000, 0.000], [0.713, 0.213, 0.500], [0.412, 0.412, 0.000], [0.235, 0.735, 0.500]]}

---

No. 19
{"formula": "BaIn2Tc", "functional": "PBE", "state": "optimized geometry", "ef_mev_per_atom": 276.1, "polymorph_energy_mev_per_atom": 144, "mass_density_g_cm3": 6.995, "e_tot_ev_per_cell": -16.66, "lattice_angstrom": [[3.710, 0.000, 0.000], [0.000, 3.710, 0.000], [0.000, 0.000, 8.018]], "species": ["Ba", "In", "In", "Tc"], "fractional_positions": [[0.000, 0.000, 0.000], [0.000, 0.000, 0.587], [0.500, 0.500, 0.344], [0.500, 0.500, 0.693]]}

---

No. 20
{"formula": "Ac8AgRh6", "functional": "PBE", "state": "optimized geometry", "ef_mev_per_atom": -548.2, "mass_density_g_cm3": 8.822, "e_tot_ev_per_cell": -88.05, "lattice_angstrom": [[11.038, 0.000, 0.000], [-5.519, 9.560, 0.000], [0.000, 0.000, 4.533]], "species": ["Ac", "Ac", "Ac", "Ac", "Ac", "Ac", "Ac", "Ac", "Ag", "Rh", "Rh", "Rh", "Rh", "Rh", "Rh"], "fractional_positions": [[0.028, 0.686, 0.253], [0.314, 0.343, 0.253], [0.333, 0.667, 0.749], [0.343, 0.028, 0.747], [0.657, 0.972, 0.253], [0.667, 0.333, 0.251], [0.686, 0.657, 0.747], [0.972, 0.314, 0.747], [0.000, 0.000, 0.500], [0.158, 0.491, 0.250], [0.334, 0.842, 0.250], [0.491, 0.334, 0.750], [0.509, 0.666, 0.250], [0.666, 0.158, 0.750], [0.842, 0.509, 0.750]]}